1.
DFT (GGA+U) results for Rb2Ni3AgF12 after structural relaxation.

The space group is R-3m (No. 166, hexagonal axes) and the conventional cell measures 7.2995, 7.2995 and 18.2637 Å, with angles of 90.00, 90.00 and 120.00 degrees. The asymmetric unit holds Rb at (0.0000, 0.0000, 0.1136), Ni at (0.0000, 0.5000, 0.0000), Ag at (0.0000, 0.0000, 0.5000), F at (0.0434, 0.5217, 0.1099) and F at (0.0703, 0.5351, 0.3493).

The total magnetization is 0.391 μB/atom. The calculation puts the total energy at -3.93 eV/atom. The crystal system is trigonal. The value obtained for the theoretical density is 4.04 g cm⁻³.

***

2.
DFT (GGA+U) results for Rb4NiAg3F12 after structural relaxation.

The space group is Im-3m (No. 229) and the conventional cell measures 8.7195, 8.7195 and 8.7195 Å, with angles of 90.00, 90.00 and 90.00 degrees. The asymmetric unit holds Rb at (0.2500, 0.2500, 0.2500), Ni at (0.0000, 0.0000, 0.0000), Ag at (0.0000, 0.0000, 0.5000), F at (0.0000, 0.0000, 0.2322) and F at (0.0000, 0.2500, 0.5000).

The total magnetization is 0.067 μB/atom. The calculation puts the total energy at -3.88 eV/atom. The crystal system is cubic. The value obtained for the theoretical density is 4.77 g cm⁻³.

***

3.
DFT (GGA+U) results for Rb4Ni3AgF12 after structural relaxation.

The space group is Im-3m (No. 229) and the conventional cell measures 8.4216, 8.4216 and 8.4216 Å, with angles of 90.00, 90.00 and 90.00 degrees. The asymmetric unit holds Rb at (0.2500, 0.2500, 0.2500), Ni at (0.0000, 0.0000, 0.5000), Ag at (0.0000, 0.0000, 0.0000), F at (0.0000, 0.0000, 0.2669) and F at (0.0000, 0.2500, 0.5000).

The total magnetization is 0.250 μB/atom. The calculation puts the total energy at -4.13 eV/atom. The crystal system is cubic. The value obtained for the theoretical density is 4.75 g cm⁻³.

***

Look up the theoretical density of the third one.
4.75 g cm⁻³

***

What did the third record say?
DFT (GGA+U) results for Rb4Ni3AgF12 after structural relaxation.

The space group is Im-3m (No. 229) and the conventional cell measures 8.4216, 8.4216 and 8.4216 Å, with angles of 90.00, 90.00 and 90.00 degrees. The asymmetric unit holds Rb at (0.2500, 0.2500, 0.2500), Ni at (0.0000, 0.0000, 0.5000), Ag at (0.0000, 0.0000, 0.0000), F at (0.0000, 0.0000, 0.2669) and F at (0.0000, 0.2500, 0.5000).

The total magnetization is 0.250 μB/atom. The calculation puts the total energy at -4.13 eV/atom. The crystal system is cubic. The value obtained for the theoretical density is 4.75 g cm⁻³.